No. 1
Computed, not measured: a relaxed La2Pr3Cd3 crystal at the PBE level of DFT.

Geometry as POSCAR:
```
La2Pr3Cd3
1.0
-1.961 2.793 11.489
1.961 -2.793 11.489
1.961 2.793 -11.489
La Pr Cd
2 3 3
Cartesian
0.000 0.000 5.377
0.000 0.000 17.601
0.000 0.000 0.000
1.961 0.000 8.721
0.000 2.793 2.768
1.961 0.000 2.674
0.000 0.000 11.489
0.000 2.793 8.815
```

Values from the calculation:
- magnetic moment (μB per formula unit) = 0.0
- energy of formation from the pure elements (meV/atom) = -227
- excess energy over the best structure of this formula in the dataset (eV/atom) = 0.000
- electronic total energy (eV/atom) = -3.59

No. 2
Computed, not measured: a relaxed LaPr8Cd2 crystal at the PBE level of DFT.

Geometry as POSCAR:
```
LaPr8Cd2
1.0
8.761 -3.518 0.000
8.761 3.518 0.000
-2.256 0.000 6.105
La Pr Cd
1 8 2
Cartesian
0.000 0.000 0.000
6.134 1.567 3.602
3.195 0.000 2.254
9.132 1.567 2.503
6.271 0.000 0.201
8.996 0.000 5.904
6.134 -1.567 3.602
12.072 0.000 3.851
9.132 -1.567 2.503
0.954 0.000 4.983
14.313 0.000 1.122
```

Values from the calculation:
- magnetic moment (μB per formula unit) = 0.0
- energy of formation from the pure elements (meV/atom) = 70
- excess energy over the best structure of this formula in the dataset (eV/atom) = 0.146
- electronic total energy (eV/atom) = -4.02

No. 3
Computed, not measured: a relaxed La4Pr5Cd crystal at the PBE level of DFT.

Geometry as POSCAR:
```
La4Pr5Cd
1.0
-5.488 5.488 3.044
5.488 -5.488 3.044
5.488 5.488 -3.044
La Pr Cd
4 5 1
Cartesian
3.431 0.000 0.000
7.544 0.000 0.000
0.000 3.431 0.000
0.000 7.544 0.000
3.453 3.453 0.076
2.035 -2.035 3.120
-2.035 2.035 3.120
2.035 2.035 3.120
0.000 0.000 4.944
0.000 0.000 1.760
```

Values from the calculation:
- magnetic moment (μB per formula unit) = 0.0
- energy of formation from the pure elements (meV/atom) = 81
- excess energy over the best structure of this formula in the dataset (eV/atom) = 0.139
- electronic total energy (eV/atom) = -4.37

Look up the magnetic moment of the third one.
0.0 μB per formula unit